(1)
# K2YPtO4 | the Alexandria database | PBE | relaxed
data_K2YPtO4
_space_group_name_H-M_alt 'P 1'
_space_group_IT_number 1
_space_group_name_Hall 'P 1'
_cell_length_a 3.332
_cell_length_b 6.013
_cell_length_c 6.684
_cell_angle_alpha 110.99
_cell_angle_beta 90.00
_cell_angle_gamma 90.00
loop_
_atom_site_label
_atom_site_type_symbol
_atom_site_fract_x
_atom_site_fract_y
_atom_site_fract_z
K1 K 0.000 0.500 0.500
K2 K 0.500 0.000 0.500
Y1 Y 0.500 0.500 0.000
Pt1 Pt 0.000 0.000 0.000
O1 O 0.500 0.203 0.163
O2 O 0.500 0.797 0.837
O3 O 0.000 0.702 0.217
O4 O 0.000 0.298 0.783
# - Space group: P2/m (10)
# - Formation energy (no corrections): -1.69 eV per atom
# - Calculated volume: 125 Å³ per cell
# - Electronic total energy: -6.01 eV/atom


(2)
# KY2PtO5 | the Alexandria database | PBE | relaxed
data_KY2PtO5
_space_group_name_H-M_alt 'P 1'
_space_group_IT_number 1
_space_group_name_Hall 'P 1'
_cell_length_a 5.865
_cell_length_b 6.612
_cell_length_c 6.612
_cell_angle_alpha 90.00
_cell_angle_beta 90.00
_cell_angle_gamma 90.00
loop_
_atom_site_label
_atom_site_type_symbol
_atom_site_fract_x
_atom_site_fract_y
_atom_site_fract_z
O1 O 0.500 0.000 0.000
O2 O 0.738 0.865 0.365
O3 O 0.262 0.635 0.865
O4 O 0.738 0.635 0.865
O5 O 0.500 0.500 0.500
O6 O 0.262 0.865 0.365
O7 O 0.738 0.135 0.635
O8 O 0.262 0.365 0.135
O9 O 0.738 0.365 0.135
O10 O 0.262 0.135 0.635
Pt1 Pt 0.000 0.000 0.500
Pt2 Pt 0.000 0.500 0.000
K1 K 0.000 0.000 0.000
K2 K 0.000 0.500 0.500
Y1 Y 0.500 0.324 0.824
Y2 Y 0.500 0.824 0.676
Y3 Y 0.500 0.676 0.176
Y4 Y 0.500 0.176 0.324
# - Space group: P4/mbm (127)
# - Formation energy (no corrections): -2.31 eV per atom
# - D(E_F): 9.83 states/eV per cell
# - Calculated volume: 256 Å³ per cell
# - Electronic total energy: -7.29 eV/atom


(3)
# K3Zn2PtO6 | the Alexandria database | PBE | relaxed
data_K3Zn2PtO6
_space_group_name_H-M_alt 'P 1'
_space_group_IT_number 1
_space_group_name_Hall 'P 1'
_cell_length_a 5.937
_cell_length_b 5.937
_cell_length_c 6.850
_cell_angle_alpha 90.00
_cell_angle_beta 90.00
_cell_angle_gamma 120.00
loop_
_atom_site_label
_atom_site_type_symbol
_atom_site_fract_x
_atom_site_fract_y
_atom_site_fract_z
O1 O 0.153 0.847 0.313
O2 O 0.847 0.694 0.687
O3 O 0.306 0.153 0.687
O4 O 0.694 0.847 0.313
O5 O 0.847 0.153 0.687
O6 O 0.153 0.306 0.313
K1 K 0.667 0.333 0.225
K2 K 0.333 0.667 0.775
K3 K 0.000 0.000 0.000
Zn1 Zn 0.667 0.333 0.649
Zn2 Zn 0.333 0.667 0.351
Pt1 Pt 0.000 0.000 0.500
# - Space group: P-3m1 (164)
# - Formation energy (no corrections): -1.02 eV per atom
# - D(E_F): 8.05 states/eV per cell
# - Calculated volume: 209 Å³ per cell
# - Electronic total energy: -4.49 eV/atom


(4)
# K2ZrPt3O12 | the Alexandria database | PBE | relaxed
data_K2ZrPt3O12
_space_group_name_H-M_alt 'P 1'
_space_group_IT_number 1
_space_group_name_Hall 'P 1'
_cell_length_a 7.517
_cell_length_b 7.517
_cell_length_c 7.517
_cell_angle_alpha 57.79
_cell_angle_beta 57.79
_cell_angle_gamma 57.79
loop_
_atom_site_label
_atom_site_type_symbol
_atom_site_fract_x
_atom_site_fract_y
_atom_site_fract_z
Pt1 Pt 0.000 0.500 0.000
Pt2 Pt 0.500 0.000 0.000
Pt3 Pt 0.000 0.000 0.500
O1 O 0.931 0.931 0.334
O2 O 0.674 0.091 0.674
O3 O 0.931 0.334 0.931
O4 O 0.909 0.326 0.326
O5 O 0.674 0.674 0.091
O6 O 0.326 0.909 0.326
O7 O 0.069 0.666 0.069
O8 O 0.091 0.674 0.674
O9 O 0.334 0.931 0.931
O10 O 0.666 0.069 0.069
O11 O 0.069 0.069 0.666
O12 O 0.326 0.326 0.909
Zr1 Zr 0.000 0.000 0.000
K1 K 0.393 0.393 0.393
K2 K 0.607 0.607 0.607
# - Space group: R-3m (166)
# - Formation energy (no corrections): -0.96 eV per atom
# - D(E_F): 12.44 states/eV per cell
# - Calculated volume: 285 Å³ per cell
# - Electronic total energy: -5.87 eV/atom


(5)
# K2ZrPtO4 | the Alexandria database | PBE | relaxed
data_K2ZrPtO4
_space_group_name_H-M_alt 'P 1'
_space_group_IT_number 1
_space_group_name_Hall 'P 1'
_cell_length_a 5.614
_cell_length_b 7.223
_cell_length_c 11.520
_cell_angle_alpha 84.57
_cell_angle_beta 75.90
_cell_angle_gamma 67.13
loop_
_atom_site_label
_atom_site_type_symbol
_atom_site_fract_x
_atom_site_fract_y
_atom_site_fract_z
Zr1 Zr 0.750 0.500 0.500
Zr2 Zr 0.000 0.000 0.000
O1 O 0.326 0.787 0.046
O2 O 0.592 0.287 0.546
O3 O 0.862 0.713 0.546
O4 O 0.122 0.287 0.454
O5 O 0.424 0.713 0.454
O6 O 0.628 0.213 0.046
O7 O 0.888 0.787 0.954
O8 O 0.158 0.213 0.954
K1 K 0.195 0.000 0.610
K2 K 0.555 0.500 0.890
K3 K 0.805 0.000 0.390
K4 K 0.945 0.500 0.110
Pt1 Pt 0.500 0.000 0.000
Pt2 Pt 0.250 0.500 0.500
# - Space group: Fddd (70)
# - Formation energy (no corrections): -1.48 eV per atom
# - D(E_F): 0.07 states/eV per cell
# - Calculated volume: 417 Å³ per cell
# - Electronic total energy: -6.05 eV/atom


(6)
# KZrPtO4 | the Alexandria database | PBE | relaxed
data_KZrPtO4
_space_group_name_H-M_alt 'P 1'
_space_group_IT_number 1
_space_group_name_Hall 'P 1'
_cell_length_a 6.522
_cell_length_b 6.939
_cell_length_c 6.571
_cell_angle_alpha 118.26
_cell_angle_beta 90.00
_cell_angle_gamma 118.03
loop_
_atom_site_label
_atom_site_type_symbol
_atom_site_fract_x
_atom_site_fract_y
_atom_site_fract_z
O1 O 0.289 0.578 0.730
O2 O 0.711 0.422 0.270
O3 O 0.295 0.996 0.248
O4 O 0.705 0.004 0.752
O5 O 0.289 0.578 0.348
O6 O 0.298 0.004 0.752
O7 O 0.702 0.996 0.248
O8 O 0.711 0.422 0.652
Zr1 Zr 0.500 0.000 0.000
Zr2 Zr 0.500 0.000 0.500
Pt1 Pt 0.000 0.500 0.500
Pt2 Pt 0.500 0.500 0.500
K1 K 0.145 0.291 0.895
K2 K 0.855 0.709 0.105
# - Space group: Imma (74)
# - Formation energy (no corrections): -1.73 eV per atom
# - D(E_F): 0.02 states/eV per cell
# - Calculated volume: 222 Å³ per cell
# - Electronic total energy: -6.81 eV/atom